Here is a geometry-optimized HfTiS2 structure from the Alexandria database. Energies are from PBE.

abc: 6.8451 6.8451 6.8451
angles: 28.67 28.67 28.67
Fractional positions:
Hf 0.0000 0.0000 0.0000
Ti 0.1645 0.1645 0.1645
S 0.5795 0.5795 0.5795
S 0.7528 0.7528 0.7528

Calculated values
The size of the total moment comes out at 0.0 μB per formula unit. Its space-group type is No. 160. As for the energy above the most stable polymorph in this dataset: 0 meV per atom. The value obtained for the formation energy without anion corrections is -1326 meV/atom. For the raw total energy, the calculation gives -7.8514 eV/atom.